1.
Compound: TaMnMo2
Source: Alexandria
Functional: GGA-PBE
Structure: optimized geometry

Structure (POSCAR):
```
TaMnMo2
1.0
-1.572 2.237 4.362
1.572 -2.237 4.362
1.572 2.237 -4.362
Ta Mn Mo
1 1 2
direct
0.000 0.000 0.000
0.250 0.750 0.500
0.496 0.496 0.000
0.743 0.243 0.500
```

Summary:
Density of states at the Fermi level in states/eV per atom: 0.9150
Calculated formation energy in eV per atom: 0.005
Volume in Å³ per cell: 61.3
Energy relative to the lowest polymorph listed for this composition in meV per atom: 57.9

2.
Compound: TaMnMo2
Source: Alexandria
Functional: GGA-PBE
Structure: optimized geometry

Structure (POSCAR):
```
TaMnMo2
1.0
2.684 -4.424 0.000
2.684 4.424 0.000
-0.929 0.000 2.588
Ta Mn Mo
1 1 2
direct
0.000 0.000 0.000
0.500 0.500 0.000
0.000 0.500 0.500
0.500 0.000 0.500
```

Summary:
Density of states at the Fermi level in states/eV per atom: 0.5944
Calculated formation energy in eV per atom: 0.018
Volume in Å³ per cell: 61.5
Energy relative to the lowest polymorph listed for this composition in meV per atom: 71.1

3.
Compound: TaMnMo2
Source: Alexandria
Functional: GGA-PBE
Structure: optimized geometry

Structure (POSCAR):
```
TaMnMo2
1.0
1.421 0.821 8.980
-1.421 0.821 8.980
0.000 -1.641 8.980
Ta Mn Mo
1 1 2
direct
0.000 0.000 0.000
0.500 0.500 0.500
0.241 0.241 0.241
0.759 0.759 0.759
```

Summary:
Density of states at the Fermi level in states/eV per atom: 0.7917
Calculated formation energy in eV per atom: 0.335
Volume in Å³ per cell: 62.8
Energy relative to the lowest polymorph listed for this composition in meV per atom: 388.1

4.
Compound: TaMn3Mo
Source: Alexandria
Functional: GGA-PBE
Structure: optimized geometry

Structure (POSCAR):
```
TaMn3Mo
1.0
4.591 0.000 0.000
0.000 4.591 0.000
0.000 0.000 4.591
Ta Mn Mo
1 3 1
direct
0.000 0.000 0.000
0.000 0.000 0.500
0.000 0.500 0.000
0.500 0.000 0.000
0.500 0.500 0.500
```

Summary:
Density of states at the Fermi level in states/eV per atom: 1.0866
Calculated formation energy in eV per atom: 1.656
Volume in Å³ per cell: 96.8
Energy relative to the lowest polymorph listed for this composition in meV per atom: 244.9

5.
Compound: TaMnMo2
Source: Alexandria
Functional: GGA-PBE
Structure: optimized geometry

Structure (POSCAR):
```
TaMnMo2
1.0
2.850 0.000 0.000
0.000 2.850 0.000
0.000 0.000 7.601
Ta Mn Mo
1 1 2
direct
0.000 0.000 0.000
0.500 0.500 0.235
0.000 0.000 0.430
0.500 0.500 0.706
```

Summary:
Density of states at the Fermi level in states/eV per atom: 1.0206
Calculated formation energy in eV per atom: 0.177
Volume in Å³ per cell: 61.7
Energy relative to the lowest polymorph listed for this composition in meV per atom: 229.9

6.
Compound: Ta4MnMo2
Source: Alexandria
Functional: GGA-PBE
Structure: optimized geometry

Structure (POSCAR):
```
Ta4MnMo2
1.0
-3.120 3.120 3.187
3.120 -3.120 3.187
3.120 3.120 -3.187
Ta Mn Mo
4 1 2
direct
0.000 0.000 0.500
0.000 0.500 0.000
0.500 0.000 0.000
0.500 0.500 0.500
0.000 0.000 0.000
0.000 0.500 0.500
0.500 0.000 0.500
```

Summary:
Density of states at the Fermi level in states/eV per atom: 1.0031
Calculated formation energy in eV per atom: 0.174
Volume in Å³ per cell: 124.1

7.
Compound: TaMnMo2
Source: Alexandria
Functional: GGA-PBE
Structure: optimized geometry

Structure (POSCAR):
```
TaMnMo2
1.0
0.000 3.120 3.120
3.120 0.000 3.120
3.120 3.120 0.000
Ta Mn Mo
1 1 2
direct
0.000 0.000 0.000
0.500 0.500 0.500
0.250 0.250 0.250
0.750 0.750 0.750
```

Summary:
Density of states at the Fermi level in states/eV per atom: 0.6530
Calculated formation energy in eV per atom: 0.062
Volume in Å³ per cell: 60.7
Energy relative to the lowest polymorph listed for this composition in meV per atom: 114.6

8.
Compound: TaMnMo2
Source: Alexandria
Functional: GGA-PBE
Structure: optimized geometry

Structure (POSCAR):
```
TaMnMo2
1.0
3.123 0.000 0.000
0.000 3.123 0.000
0.000 0.000 6.241
Ta Mn Mo
1 1 2
direct
0.000 0.000 0.000
0.500 0.500 0.241
0.000 0.000 0.484
0.500 0.500 0.730
```

Summary:
Density of states at the Fermi level in states/eV per atom: 0.7165
Calculated formation energy in eV per atom: -0.051
Volume in Å³ per cell: 60.9
Energy relative to the lowest polymorph listed for this composition in meV per atom: 1.4

9.
Compound: TaMnMo2
Source: Alexandria
Functional: GGA-PBE
Structure: optimized geometry

Structure (POSCAR):
```
TaMnMo2
1.0
-1.854 1.854 4.553
1.854 -1.854 4.553
1.854 1.854 -4.553
Ta Mn Mo
1 1 2
direct
0.000 0.000 0.000
0.500 0.500 0.000
0.250 0.750 0.500
0.750 0.250 0.500
```

Summary:
Density of states at the Fermi level in states/eV per atom: 0.9039
Calculated formation energy in eV per atom: 0.200
Volume in Å³ per cell: 62.6
Energy relative to the lowest polymorph listed for this composition in meV per atom: 252.2

10.
Compound: TaMnMo2
Source: Alexandria
Functional: GGA-PBE
Structure: optimized geometry

Structure (POSCAR):
```
TaMnMo2
1.0
1.594 -2.243 0.000
1.594 2.243 0.000
0.000 0.000 8.604
Ta Mn Mo
1 1 2
direct
0.000 0.000 0.000
0.500 0.500 0.242
0.000 0.000 0.472
0.500 0.500 0.730
```

Summary:
Density of states at the Fermi level in states/eV per atom: 0.9934
Calculated formation energy in eV per atom: 0.024
Volume in Å³ per cell: 61.5
Energy relative to the lowest polymorph listed for this composition in meV per atom: 76.5

11.
Compound: TaMnMo2
Source: Alexandria
Functional: GGA-PBE
Structure: optimized geometry

Structure (POSCAR):
```
TaMnMo2
1.0
3.151 0.000 0.000
0.000 3.151 0.000
0.000 0.000 6.203
Ta Mn Mo
1 1 2
direct
0.000 0.000 0.000
0.000 0.000 0.500
0.500 0.500 0.264
0.500 0.500 0.736
```

Summary:
Density of states at the Fermi level in states/eV per atom: 1.1394
Calculated formation energy in eV per atom: 0.028
Volume in Å³ per cell: 61.6
Energy relative to the lowest polymorph listed for this composition in meV per atom: 81.0

12.
Compound: TaMnMo2
Source: Alexandria
Functional: GGA-PBE
Structure: optimized geometry

Structure (POSCAR):
```
TaMnMo2
1.0
2.749 0.000 0.000
0.000 4.382 0.000
-0.898 0.000 5.098
Ta Mn Mo
1 1 2
direct
0.000 0.000 0.000
0.743 0.500 0.241
0.257 0.500 0.738
0.497 0.000 0.494
```

Summary:
Density of states at the Fermi level in states/eV per atom: 0.7147
Calculated formation energy in eV per atom: 0.022
Volume in Å³ per cell: 61.4
Energy relative to the lowest polymorph listed for this composition in meV per atom: 74.7

13.
Compound: TaMnMo2
Source: Alexandria
Functional: GGA-PBE
Structure: optimized geometry

Structure (POSCAR):
```
TaMnMo2
1.0
0.000 3.116 3.116
3.116 0.000 3.116
3.116 3.116 0.000
Ta Mn Mo
1 1 2
direct
0.000 0.000 0.000
0.250 0.250 0.250
0.500 0.500 0.500
0.750 0.750 0.750
```

Summary:
Density of states at the Fermi level in states/eV per atom: 0.4309
Calculated formation energy in eV per atom: -0.053
Volume in Å³ per cell: 60.5
Energy relative to the lowest polymorph listed for this composition in meV per atom: 0.0

14.
Compound: TaMnMo3
Source: Alexandria
Functional: GGA-PBE
Structure: optimized geometry

Structure (POSCAR):
```
TaMnMo3
1.0
4.441 0.000 0.000
0.000 4.441 0.000
0.000 0.000 4.441
Ta Mn Mo
1 1 3
direct
0.000 0.000 0.000
0.500 0.500 0.500
0.000 0.500 0.500
0.500 0.000 0.500
0.500 0.500 0.000
```

Summary:
Density of states at the Fermi level in states/eV per atom: 0.5765
Calculated formation energy in eV per atom: 0.989
Volume in Å³ per cell: 87.6
Energy relative to the lowest polymorph listed for this composition in meV per atom: 0.0

15.
Compound: TaMn3Mo
Source: Alexandria
Functional: GGA-PBE
Structure: optimized geometry

Structure (POSCAR):
```
TaMn3Mo
1.0
4.447 0.000 0.000
0.000 4.447 0.000
0.000 0.000 4.447
Ta Mn Mo
1 3 1
direct
0.000 0.000 0.000
0.000 0.500 0.500
0.500 0.000 0.500
0.500 0.500 0.000
0.500 0.500 0.500
```

Summary:
Density of states at the Fermi level in states/eV per atom: 1.3354
Calculated formation energy in eV per atom: 1.411
Volume in Å³ per cell: 87.9
Energy relative to the lowest polymorph listed for this composition in meV per atom: 0.0